Density functional theory data (PBE-GGA) for an optimized crystal structure of InRhSe2.

**Symmetry**: Cm, No. 8
**Raw formation energy**: -0.30 eV/atom
**Volume**: 22.49 Å³/atom
**Total magnetization**: 0.00 μB/cell
**N(E_F)**: 1.0 states/eV/cell
**DFT total energy**: -18.26 eV for the cell shown

Cell lengths 5.402, 5.402, 5.129 Å; angles 72.06, 72.06, 39.49 degrees
Positions (direct):
Se1 0.268 0.268 0.270
Se2 0.105 0.105 0.960
In1 0.427 0.427 0.652
Rh1 0.700 0.700 0.618